Material: Li3TiP2O8
Method: DFT, PBE-GGA
State: optimized geometry

POSCAR file:
```
Li3TiP2O8
1.0
5.1519 0.0200 0.0360
3.0486 4.1530 0.0360
1.7788 0.9052 13.7921
O Li P Ti
16 6 4 2
direct
0.2070 0.7268 0.3657 O
0.2732 0.7930 0.1343 O
0.7930 0.2732 0.6343 O
0.8270 0.4952 0.2093 O
0.5693 0.2078 0.4622 O
0.5048 0.1730 0.2907 O
0.0297 0.3562 0.4128 O
0.2078 0.5693 0.9622 O
0.7922 0.4307 0.0378 O
0.1730 0.5048 0.7907 O
0.7268 0.2070 0.8657 O
0.6438 0.9703 0.0872 O
0.3562 0.0297 0.9128 O
0.4307 0.7922 0.5378 O
0.4952 0.8270 0.7093 O
0.9703 0.6438 0.5872 O
0.7010 0.6391 0.8359 Li
0.2990 0.3609 0.1641 Li
0.0426 0.9574 0.7500 Li
0.9574 0.0426 0.2500 Li
0.6391 0.7010 0.3359 Li
0.3609 0.2990 0.6641 Li
0.3648 0.3245 0.8823 P
0.6352 0.6755 0.1177 P
0.6755 0.6352 0.6177 P
0.3245 0.3648 0.3823 P
0.0000 0.0000 0.5000 Ti
0.0000 0.0000 0.0000 Ti
```

Output
Total magnetic moment, μB/atom: 0.07
DFT total energy, eV/atom: -6.9922
Volume, Å³/cell: 293.92
Polymorph energy (0 for the lowest one), meV per atom: 0
Raw formation energy, meV/atom: -2412

---

Material: LiTiPO2
Method: DFT, PBE-GGA
State: optimized geometry

POSCAR file:
```
LiTiPO2
1.0
-2.1445 -0.2910 2.9450
2.6111 -1.8978 1.7138
1.5611 3.4853 1.4811
O Ti Li P
2 1 1 1
direct
0.5000 0.0000 0.0000 O
0.0000 0.5000 0.0000 O
0.5000 0.5000 0.5000 Ti
0.0000 0.0000 0.0000 Li
0.0000 0.0000 0.5000 P
```

Output
Total magnetic moment, μB/atom: 0.00
DFT total energy, eV/atom: -5.3649
Volume, Å³/cell: 54.71
Polymorph energy (0 for the lowest one), meV per atom: 979
Raw formation energy, meV/atom: -338

---

Material: Li3Ti2P3O12
Method: DFT, PBE-GGA
State: optimized geometry

POSCAR file:
```
Li3Ti2P3O12
1.0
10.3143 0.0000 0.0000
-3.4381 9.7244 0.0000
-3.4381 -4.8622 8.4216
O Li P Ti
48 12 12 8
direct
0.5899 0.2023 0.2059 O
0.7023 0.0899 0.7059 O
0.7941 0.8840 0.9964 O
0.9101 0.1160 0.6124 O
0.2977 0.8876 0.0036 O
0.2977 0.9101 0.2941 O
0.4101 0.1124 0.6160 O
0.2023 0.2059 0.5899 O
0.2023 0.4964 0.6124 O
0.4964 0.6124 0.2023 O
0.2059 0.1160 0.0036 O
0.1124 0.9964 0.7023 O
0.4964 0.3840 0.2941 O
0.7059 0.5036 0.6160 O
0.3840 0.2941 0.4964 O
0.5036 0.6160 0.7059 O
0.7023 0.1124 0.9964 O
0.8876 0.0036 0.2977 O
0.6124 0.2023 0.4964 O
0.1160 0.6124 0.9101 O
0.2941 0.4964 0.3840 O
0.3840 0.5899 0.8876 O
0.5036 0.3876 0.7977 O
0.9964 0.7941 0.8840 O
0.7941 0.4101 0.7977 O
0.6160 0.4101 0.1124 O
0.4101 0.7977 0.7941 O
0.3876 0.0899 0.8840 O
0.0899 0.8840 0.3876 O
0.6124 0.9101 0.1160 O
0.5899 0.8876 0.3840 O
0.8876 0.3840 0.5899 O
0.8840 0.3876 0.0899 O
0.9101 0.2941 0.2977 O
0.1160 0.0036 0.2059 O
0.0036 0.2977 0.8876 O
0.2059 0.5899 0.2023 O
0.6160 0.7059 0.5036 O
0.7977 0.7941 0.4101 O
0.8840 0.9964 0.7941 O
0.7059 0.7023 0.0899 O
0.3876 0.7977 0.5036 O
0.7977 0.5036 0.3876 O
0.0899 0.7059 0.7023 O
0.2941 0.2977 0.9101 O
0.1124 0.6160 0.4101 O
0.0036 0.2059 0.1160 O
0.9964 0.7023 0.1124 O
0.8750 0.6250 0.2500 Li
0.7500 0.1250 0.3750 Li
0.1250 0.3750 0.7500 Li
0.3750 0.7500 0.1250 Li
0.7500 0.6250 0.8750 Li
0.3750 0.1250 0.2500 Li
0.2500 0.8750 0.6250 Li
0.1250 0.2500 0.3750 Li
0.2500 0.3750 0.1250 Li
0.6250 0.8750 0.7500 Li
0.8750 0.7500 0.6250 Li
0.6250 0.2500 0.8750 Li
0.1250 0.7500 0.8750 P
0.7500 0.8750 0.1250 P
0.2500 0.6250 0.3750 P
0.3750 0.2500 0.6250 P
0.6250 0.3750 0.2500 P
0.3750 0.6250 0.7500 P
0.6250 0.7500 0.3750 P
0.2500 0.1250 0.8750 P
0.8750 0.2500 0.1250 P
0.8750 0.1250 0.7500 P
0.7500 0.3750 0.6250 P
0.1250 0.8750 0.2500 P
0.0000 0.0000 0.5000 Ti
0.0000 0.5000 0.5000 Ti
0.5000 0.5000 0.5000 Ti
0.5000 0.5000 0.0000 Ti
0.5000 0.0000 0.5000 Ti
0.0000 0.5000 0.0000 Ti
0.0000 0.0000 0.0000 Ti
0.5000 0.0000 0.0000 Ti
```

Output
Total magnetic moment, μB/atom: 0.10
DFT total energy, eV/atom: -7.2750
Volume, Å³/cell: 844.69
Polymorph energy (0 for the lowest one), meV per atom: 46
Raw formation energy, meV/atom: -2412

---

Material: LiTiP2O7
Method: DFT, PBE-GGA
State: optimized geometry

POSCAR file:
```
LiTiP2O7
1.0
6.4228 0.0326 0.0303
-1.1164 6.3254 -0.0399
2.7781 3.0938 12.7260
O Ti P Li
28 4 8 4
direct
0.2257 0.6213 0.9771 O
0.8779 0.9854 0.6959 O
0.5592 0.6667 0.6246 O
0.0851 0.4475 0.3600 O
0.7743 0.3807 0.0225 O
0.2679 0.9355 0.6230 O
0.4409 0.3352 0.3750 O
0.2135 0.2731 0.6861 O
0.3069 0.4461 0.1396 O
0.8194 0.4269 0.1960 O
0.6931 0.5558 0.8600 O
0.4197 0.2197 0.9796 O
0.5803 0.7822 0.0200 O
0.9424 0.1100 0.1229 O
0.4584 0.9007 0.8135 O
0.7866 0.7288 0.3135 O
0.9022 0.7981 0.4772 O
0.7322 0.0664 0.3766 O
0.6987 0.4006 0.5200 O
0.1806 0.5750 0.8037 O
0.5417 0.1011 0.1861 O
0.3013 0.6013 0.4797 O
0.7906 0.1851 0.8750 O
0.2094 0.8168 0.1246 O
0.1221 0.0164 0.3037 O
0.9150 0.5544 0.6396 O
0.0577 0.8920 0.8767 O
0.0978 0.2038 0.5225 O
0.7393 0.8698 0.8590 Ti
0.2607 0.1321 0.1407 Ti
0.7722 0.4025 0.3589 Ti
0.2279 0.5994 0.6407 Ti
0.2408 0.4110 0.4302 P
0.1157 0.0933 0.6372 P
0.3405 0.6720 0.0694 P
0.7703 0.2479 0.1372 P
0.6595 0.3299 0.9302 P
0.8843 0.9086 0.3625 P
0.7593 0.5909 0.5694 P
0.2298 0.7540 0.8625 P
0.1294 0.2406 0.8457 Li
0.4149 0.0260 0.3457 Li
0.5851 0.9759 0.6540 Li
0.8706 0.7614 0.1540 Li
```

Output
Total magnetic moment, μB/atom: 0.09
DFT total energy, eV/atom: -7.4319
Volume, Å³/cell: 517.63
Polymorph energy (0 for the lowest one), meV per atom: 16
Raw formation energy, meV/atom: -2401

---

Material: Li3Ti2P3O12
Method: DFT, PBE-GGA
State: optimized geometry

POSCAR file:
```
Li3Ti2P3O12
1.0
-9.0024 -0.8947 0.8232
-4.0691 -5.0550 6.3570
-4.8606 3.3927 6.8837
O P Ti Li
24 6 4 6
direct
0.1647 0.4944 0.5369 O
0.2087 0.1527 0.5433 O
0.4944 0.5369 0.1647 O
0.6112 0.8073 0.9979 O
0.8073 0.9979 0.6112 O
0.8752 0.1392 0.2552 O
0.1248 0.8608 0.7448 O
0.8473 0.4567 0.7913 O
0.1392 0.2552 0.8752 O
0.9979 0.6112 0.8073 O
0.4567 0.7913 0.8473 O
0.7913 0.8473 0.4567 O
0.5433 0.2087 0.1527 O
0.2552 0.8752 0.1392 O
0.8353 0.5056 0.4631 O
0.1927 0.0021 0.3888 O
0.8608 0.7448 0.1248 O
0.1527 0.5433 0.2087 O
0.0021 0.3888 0.1927 O
0.4631 0.8353 0.5056 O
0.5369 0.1647 0.4944 O
0.5056 0.4631 0.8353 O
0.3888 0.1927 0.0021 O
0.7448 0.1248 0.8608 O
0.2486 0.9597 0.5422 P
0.9597 0.5422 0.2486 P
0.5422 0.2486 0.9597 P
0.4578 0.7514 0.0403 P
0.7514 0.0403 0.4578 P
0.0403 0.4578 0.7514 P
0.3497 0.3497 0.3497 Ti
0.8528 0.8528 0.8528 Ti
0.6503 0.6503 0.6503 Ti
0.1472 0.1472 0.1472 Ti
0.7333 0.3335 0.0783 Li
0.3335 0.0783 0.7333 Li
0.9217 0.2667 0.6665 Li
0.2667 0.6665 0.9217 Li
0.0783 0.7333 0.3335 Li
0.6665 0.9217 0.2667 Li
```

Output
Total magnetic moment, μB/atom: 0.10
DFT total energy, eV/atom: -7.3122
Volume, Å³/cell: 478.41
Polymorph energy (0 for the lowest one), meV per atom: 9
Raw formation energy, meV/atom: -2449

---

Among the records above, which one has the lowest raw formation energy?
number 5